1.
DFT (PBE) results for a relaxed structure of K3Sr3RuO8.

CIF file:
```
data_K3Sr3RuO8
_cell_length_a 7.1737
_cell_length_b 7.1737
_cell_length_c 18.8224
_cell_angle_alpha 90.00
_cell_angle_beta 90.00
_cell_angle_gamma 120.00
_symmetry_space_group_name_H-M 'R -3 m'
_symmetry_Int_Tables_number 166
_symmetry_space_group_name_Hall '-R 3 2"'
loop_
_atom_site_label
_atom_site_type_symbol
_atom_site_fract_x
_atom_site_fract_y
_atom_site_fract_z
K1 K 0.0000 0.5000 0.0000
Sr1 Sr 0.0000 0.5000 0.5000
Ru1 Ru 0.0000 0.0000 0.5000
O1 O 0.0000 0.0000 0.2345
O2 O 0.0734 0.5367 0.2249
```

The density of states at the Fermi level comes out at 26.47 states/eV/cell. The value obtained for the raw formation energy is -1.794 eV per atom.


2.
DFT (PBE) results for a relaxed structure of KSrRu2O8.

CIF file:
```
data_KSrRu2O8
_cell_length_a 10.929
_cell_length_b 6.319
_cell_length_c 6.864
_cell_angle_alpha 90.00
_cell_angle_beta 109.87
_cell_angle_gamma 90.00
_symmetry_space_group_name_H-M 'C 1 2/m 1'
_symmetry_Int_Tables_number 12
_symmetry_space_group_name_Hall '-C 2y'
loop_
_atom_site_label
_atom_site_type_symbol
_atom_site_fract_x
_atom_site_fract_y
_atom_site_fract_z
K1 K 0.000 0.000 0.000
Sr1 Sr 0.000 0.500 0.500
Ru1 Ru 0.208 0.000 0.675
O1 O 0.119 0.500 0.234
O2 O 0.139 0.227 0.752
O3 O 0.157 0.000 0.402
```

The density of states at the Fermi level comes out at 18.07 states/eV/cell. The value obtained for the raw formation energy is -1.319 eV per atom.


3.
DFT (PBE) results for a relaxed structure of K3Sr2RuO6.

CIF file:
```
data_K3Sr2RuO6
_cell_length_a 6.111
_cell_length_b 10.591
_cell_length_c 6.495
_cell_angle_alpha 90.00
_cell_angle_beta 108.38
_cell_angle_gamma 90.00
_symmetry_space_group_name_H-M 'C 1 2/m 1'
_symmetry_Int_Tables_number 12
_symmetry_space_group_name_Hall '-C 2y'
loop_
_atom_site_label
_atom_site_type_symbol
_atom_site_fract_x
_atom_site_fract_y
_atom_site_fract_z
K1 K 0.000 0.000 0.000
K2 K 0.000 0.339 0.000
Sr1 Sr 0.000 0.167 0.500
Ru1 Ru 0.000 0.500 0.500
O1 O 0.201 0.362 0.689
O2 O 0.214 0.500 0.314
```

The value obtained for the raw formation energy is -1.769 eV per atom.


4.
DFT (PBE) results for a relaxed structure of K2SrRuO4.

CIF file:
```
data_K2SrRuO4
_cell_length_a 6.281
_cell_length_b 6.281
_cell_length_c 7.265
_cell_angle_alpha 90.00
_cell_angle_beta 90.00
_cell_angle_gamma 90.00
_symmetry_space_group_name_H-M 'I -4'
_symmetry_Int_Tables_number 82
_symmetry_space_group_name_Hall 'I -4'
loop_
_atom_site_label
_atom_site_type_symbol
_atom_site_fract_x
_atom_site_fract_y
_atom_site_fract_z
K1 K 0.000 0.000 0.000
K2 K 0.000 0.500 0.250
Sr1 Sr 0.000 0.000 0.500
Ru1 Ru 0.000 0.500 0.750
O1 O 0.175 0.255 0.715
```

The density of states at the Fermi level comes out at 13.35 states/eV/cell. The value obtained for the raw formation energy is -1.536 eV per atom.


5.
DFT (PBE) results for a relaxed structure of KSr2RuO6.

CIF file:
```
data_KSr2RuO6
_cell_length_a 5.823
_cell_length_b 6.323
_cell_length_c 10.130
_cell_angle_alpha 90.00
_cell_angle_beta 123.61
_cell_angle_gamma 90.00
_symmetry_space_group_name_H-M 'P 1 21/c 1'
_symmetry_Int_Tables_number 14
_symmetry_space_group_name_Hall '-P 2ybc'
loop_
_atom_site_label
_atom_site_type_symbol
_atom_site_fract_x
_atom_site_fract_y
_atom_site_fract_z
K1 K 0.000 0.000 0.000
Sr1 Sr 0.218 0.060 0.736
Ru1 Ru 0.500 0.000 0.500
O1 O 0.186 0.157 0.460
O2 O 0.272 0.748 0.912
O3 O 0.416 0.076 0.294
```

The density of states at the Fermi level comes out at 11.55 states/eV/cell. The value obtained for the raw formation energy is -1.749 eV per atom.


6.
DFT (PBE) results for a relaxed structure of KSr2RuO4.

CIF file:
```
data_KSr2RuO4
_cell_length_a 3.649
_cell_length_b 12.817
_cell_length_c 12.856
_cell_angle_alpha 90.00
_cell_angle_beta 90.00
_cell_angle_gamma 90.00
_symmetry_space_group_name_H-M 'C m c m'
_symmetry_Int_Tables_number 63
_symmetry_space_group_name_Hall '-C 2c 2'
loop_
_atom_site_label
_atom_site_type_symbol
_atom_site_fract_x
_atom_site_fract_y
_atom_site_fract_z
K1 K 0.000 0.064 0.250
Sr1 Sr 0.000 0.371 0.041
Ru1 Ru 0.000 0.207 0.750
O1 O 0.000 0.000 0.000
O2 O 0.000 0.249 0.606
O3 O 0.000 0.354 0.250
```

The density of states at the Fermi level comes out at 12.49 states/eV/cell. The value obtained for the raw formation energy is -1.786 eV per atom.


7.
DFT (PBE) results for a relaxed structure of KSrRuO4.

CIF file:
```
data_KSrRuO4
_cell_length_a 3.959
_cell_length_b 3.959
_cell_length_c 12.934
_cell_angle_alpha 90.00
_cell_angle_beta 90.00
_cell_angle_gamma 90.00
_symmetry_space_group_name_H-M 'I 4 m m'
_symmetry_Int_Tables_number 107
_symmetry_space_group_name_Hall 'I 4 -2'
loop_
_atom_site_label
_atom_site_type_symbol
_atom_site_fract_x
_atom_site_fract_y
_atom_site_fract_z
K1 K 0.000 0.000 0.000
Sr1 Sr 0.000 0.000 0.706
Ru1 Ru 0.000 0.000 0.355
O1 O 0.000 0.000 0.200
O2 O 0.000 0.000 0.503
O3 O 0.000 0.500 0.343
```

The density of states at the Fermi level comes out at 4.82 states/eV/cell. The value obtained for the raw formation energy is -1.656 eV per atom.


8.
DFT (PBE) results for a relaxed structure of K2TaRu3O12.

CIF file:
```
data_K2TaRu3O12
_cell_length_a 7.2001
_cell_length_b 7.2001
_cell_length_c 18.1040
_cell_angle_alpha 90.00
_cell_angle_beta 90.00
_cell_angle_gamma 120.00
_symmetry_space_group_name_H-M 'R -3 m'
_symmetry_Int_Tables_number 166
_symmetry_space_group_name_Hall '-R 3 2"'
loop_
_atom_site_label
_atom_site_type_symbol
_atom_site_fract_x
_atom_site_fract_y
_atom_site_fract_z
K1 K 0.0000 0.0000 0.1336
Ta1 Ta 0.0000 0.0000 0.5000
Ru1 Ru 0.0000 0.5000 0.0000
O1 O 0.0674 0.5337 0.1058
O2 O 0.0801 0.5400 0.3482
```

The density of states at the Fermi level comes out at 38.92 states/eV/cell. The value obtained for the raw formation energy is -1.377 eV per atom.


9.
DFT (PBE) results for a relaxed structure of K2Ta3RuO12.

CIF file:
```
data_K2Ta3RuO12
_cell_length_a 7.4399
_cell_length_b 7.4399
_cell_length_c 18.0193
_cell_angle_alpha 90.00
_cell_angle_beta 90.00
_cell_angle_gamma 120.00
_symmetry_space_group_name_H-M 'R -3 m'
_symmetry_Int_Tables_number 166
_symmetry_space_group_name_Hall '-R 3 2"'
loop_
_atom_site_label
_atom_site_type_symbol
_atom_site_fract_x
_atom_site_fract_y
_atom_site_fract_z
K1 K 0.0000 0.0000 0.1091
Ta1 Ta 0.0000 0.5000 0.0000
Ru1 Ru 0.0000 0.0000 0.5000
O1 O 0.0805 0.5402 0.3552
O2 O 0.0928 0.5464 0.1060
```

The density of states at the Fermi level comes out at 20.81 states/eV/cell. The value obtained for the raw formation energy is -2.165 eV per atom.


10.
DFT (PBE) results for a relaxed structure of KTaRuO2.

CIF file:
```
data_KTaRuO2
_cell_length_a 3.928
_cell_length_b 3.928
_cell_length_c 6.262
_cell_angle_alpha 90.00
_cell_angle_beta 90.00
_cell_angle_gamma 90.00
_symmetry_space_group_name_H-M 'P 4/m m m'
_symmetry_Int_Tables_number 123
_symmetry_space_group_name_Hall '-P 4 2'
loop_
_atom_site_label
_atom_site_type_symbol
_atom_site_fract_x
_atom_site_fract_y
_atom_site_fract_z
K1 K 0.000 0.000 0.000
Ta1 Ta 0.500 0.500 0.000
Ru1 Ru 0.000 0.000 0.500
O1 O 0.000 0.500 0.500
```

The density of states at the Fermi level comes out at 5.61 states/eV/cell. The value obtained for the raw formation energy is 1.232 eV per atom.


11.
DFT (PBE) results for a relaxed structure of KTbRuO6.

CIF file:
```
data_KTbRuO6
_cell_length_a 5.6290
_cell_length_b 5.6290
_cell_length_c 5.7885
_cell_angle_alpha 90.00
_cell_angle_beta 90.00
_cell_angle_gamma 120.00
_symmetry_space_group_name_H-M 'P 3 1 2'
_symmetry_Int_Tables_number 149
_symmetry_space_group_name_Hall 'P 3 2'
loop_
_atom_site_label
_atom_site_type_symbol
_atom_site_fract_x
_atom_site_fract_y
_atom_site_fract_z
K1 K 0.0000 0.0000 0.0000
Tb1 Tb 0.3333 0.6667 0.5000
Ru1 Ru 0.6667 0.3333 0.5000
O1 O 0.4058 0.0486 0.6884
```

The value obtained for the raw formation energy is -1.509 eV per atom.


12.
DFT (PBE) results for a relaxed structure of K2Tb2RuO6.

CIF file:
```
data_K2Tb2RuO6
_cell_length_a 5.824
_cell_length_b 9.987
_cell_length_c 6.583
_cell_angle_alpha 90.00
_cell_angle_beta 105.26
_cell_angle_gamma 90.00
_symmetry_space_group_name_H-M 'C 1 2/m 1'
_symmetry_Int_Tables_number 12
_symmetry_space_group_name_Hall '-C 2y'
loop_
_atom_site_label
_atom_site_type_symbol
_atom_site_fract_x
_atom_site_fract_y
_atom_site_fract_z
K1 K 0.000 0.160 0.000
Tb1 Tb 0.000 0.336 0.500
Ru1 Ru 0.000 0.000 0.500
O1 O 0.203 0.155 0.672
O2 O 0.249 0.000 0.324
```

The density of states at the Fermi level comes out at 13.34 states/eV/cell. The value obtained for the raw formation energy is -2.211 eV per atom.


13.
DFT (PBE) results for a relaxed structure of K2TbRuO6.

CIF file:
```
data_K2TbRuO6
_cell_length_a 6.2039
_cell_length_b 6.2039
_cell_length_c 5.7778
_cell_angle_alpha 90.00
_cell_angle_beta 90.00
_cell_angle_gamma 120.00
_symmetry_space_group_name_H-M 'P -3 m 1'
_symmetry_Int_Tables_number 164
_symmetry_space_group_name_Hall '-P 3 2"'
loop_
_atom_site_label
_atom_site_type_symbol
_atom_site_fract_x
_atom_site_fract_y
_atom_site_fract_z
K1 K 0.3333 0.6667 0.3944
Tb1 Tb 0.0000 0.0000 0.0000
Ru1 Ru 0.0000 0.0000 0.5000
O1 O 0.1413 0.2826 0.7045
```

The density of states at the Fermi level comes out at 5.27 states/eV/cell. The value obtained for the raw formation energy is -1.581 eV per atom.


14.
DFT (PBE) results for a relaxed structure of K3Tb2RuO6.

CIF file:
```
data_K3Tb2RuO6
_cell_length_a 5.854
_cell_length_b 10.129
_cell_length_c 6.512
_cell_angle_alpha 90.00
_cell_angle_beta 107.29
_cell_angle_gamma 90.00
_symmetry_space_group_name_H-M 'C 1 2/m 1'
_symmetry_Int_Tables_number 12
_symmetry_space_group_name_Hall '-C 2y'
loop_
_atom_site_label
_atom_site_type_symbol
_atom_site_fract_x
_atom_site_fract_y
_atom_site_fract_z
K1 K 0.000 0.000 0.000
K2 K 0.000 0.339 0.000
Tb1 Tb 0.000 0.167 0.500
Ru1 Ru 0.000 0.500 0.500
O1 O 0.221 0.341 0.687
O2 O 0.244 0.000 0.686
```

The density of states at the Fermi level comes out at 19.12 states/eV/cell. The value obtained for the raw formation energy is -2.101 eV per atom.


15.
DFT (PBE) results for a relaxed structure of K2TbRu3O12.

CIF file:
```
data_K2TbRu3O12
_cell_length_a 7.3264
_cell_length_b 7.3264
_cell_length_c 18.4105
_cell_angle_alpha 90.00
_cell_angle_beta 90.00
_cell_angle_gamma 120.00
_symmetry_space_group_name_H-M 'R -3 m'
_symmetry_Int_Tables_number 166
_symmetry_space_group_name_Hall '-R 3 2"'
loop_
_atom_site_label
_atom_site_type_symbol
_atom_site_fract_x
_atom_site_fract_y
_atom_site_fract_z
K1 K 0.0000 0.0000 0.1295
Tb1 Tb 0.0000 0.0000 0.5000
Ru1 Ru 0.0000 0.5000 0.0000
O1 O 0.0307 0.5154 0.1017
O2 O 0.0805 0.5403 0.3412
```

The density of states at the Fermi level comes out at 30.15 states/eV/cell. The value obtained for the raw formation energy is -1.261 eV per atom.


16.
DFT (PBE) results for a relaxed structure of K4TbRu3O12.

CIF file:
```
data_K4TbRu3O12
_cell_length_a 8.107
_cell_length_b 8.107
_cell_length_c 8.107
_cell_angle_alpha 90.00
_cell_angle_beta 90.00
_cell_angle_gamma 90.00
_symmetry_space_group_name_H-M 'I m -3 m'
_symmetry_Int_Tables_number 229
_symmetry_space_group_name_Hall '-I 4 2 3'
loop_
_atom_site_label
_atom_site_type_symbol
_atom_site_fract_x
_atom_site_fract_y
_atom_site_fract_z
K1 K 0.250 0.250 0.250
Tb1 Tb 0.000 0.000 0.000
Ru1 Ru 0.000 0.000 0.500
O1 O 0.000 0.000 0.270
O2 O 0.000 0.250 0.500
```

The density of states at the Fermi level comes out at 15.99 states/eV/cell. The value obtained for the raw formation energy is -1.401 eV per atom.


17.
DFT (PBE) results for a relaxed structure of K2TcRuO6.

CIF file:
```
data_K2TcRuO6
_cell_length_a 7.866
_cell_length_b 7.866
_cell_length_c 7.866
_cell_angle_alpha 90.00
_cell_angle_beta 90.00
_cell_angle_gamma 90.00
_symmetry_space_group_name_H-M 'F m -3 m'
_symmetry_Int_Tables_number 225
_symmetry_space_group_name_Hall '-F 4 2 3'
loop_
_atom_site_label
_atom_site_type_symbol
_atom_site_fract_x
_atom_site_fract_y
_atom_site_fract_z
K1 K 0.250 0.250 0.250
Tc1 Tc 0.000 0.000 0.000
Ru1 Ru 0.000 0.000 0.500
O1 O 0.000 0.000 0.246
```

The density of states at the Fermi level comes out at 11.35 states/eV/cell. The value obtained for the raw formation energy is -1.376 eV per atom.


18.
DFT (PBE) results for a relaxed structure of KTc2RuO8.

CIF file:
```
data_KTc2RuO8
_cell_length_a 5.4877
_cell_length_b 5.4877
_cell_length_c 7.6963
_cell_angle_alpha 90.00
_cell_angle_beta 90.00
_cell_angle_gamma 120.00
_symmetry_space_group_name_H-M 'P -3'
_symmetry_Int_Tables_number 147
_symmetry_space_group_name_Hall '-P 3'
loop_
_atom_site_label
_atom_site_type_symbol
_atom_site_fract_x
_atom_site_fract_y
_atom_site_fract_z
K1 K 0.0000 0.0000 0.0000
Tc1 Tc 0.3333 0.6667 0.7297
Ru1 Ru 0.0000 0.0000 0.5000
O1 O 0.0709 0.3227 0.6558
O2 O 0.3333 0.6667 0.9568
```

The density of states at the Fermi level comes out at 6.07 states/eV/cell. The value obtained for the raw formation energy is -1.347 eV per atom.


19.
DFT (PBE) results for a relaxed structure of KTe2RuO8.

CIF file:
```
data_KTe2RuO8
_cell_length_a 4.958
_cell_length_b 6.036
_cell_length_c 7.344
_cell_angle_alpha 107.32
_cell_angle_beta 95.23
_cell_angle_gamma 90.58
_symmetry_space_group_name_H-M 'P -1'
_symmetry_Int_Tables_number 2
_symmetry_space_group_name_Hall '-P 1'
loop_
_atom_site_label
_atom_site_type_symbol
_atom_site_fract_x
_atom_site_fract_y
_atom_site_fract_z
K1 K 0.000 0.000 0.000
Te1 Te 0.490 0.400 0.763
Ru1 Ru 0.000 0.000 0.500
O1 O 0.176 0.162 0.380
O2 O 0.227 0.730 0.409
O3 O 0.271 0.124 0.737
O4 O 0.289 0.627 0.019
```

The density of states at the Fermi level comes out at 0.98 states/eV/cell. The value obtained for the raw formation energy is -0.951 eV per atom.


20.
DFT (PBE) results for a relaxed structure of K2TeRuO6.

CIF file:
```
data_K2TeRuO6
_cell_length_a 5.558
_cell_length_b 5.558
_cell_length_c 5.236
_cell_angle_alpha 90.00
_cell_angle_beta 90.00
_cell_angle_gamma 90.00
_symmetry_space_group_name_H-M 'P 4 m m'
_symmetry_Int_Tables_number 99
_symmetry_space_group_name_Hall 'P 4 -2'
loop_
_atom_site_label
_atom_site_type_symbol
_atom_site_fract_x
_atom_site_fract_y
_atom_site_fract_z
K1 K 0.000 0.500 0.000
Te1 Te 0.000 0.000 0.526
Ru1 Ru 0.500 0.500 0.502
O1 O 0.000 0.000 0.170
O2 O 0.263 0.263 0.605
O3 O 0.500 0.500 0.163
```

The density of states at the Fermi level comes out at 3.07 states/eV/cell. The value obtained for the raw formation energy is -1.172 eV per atom.


| no. | final energy (eV/cell) | magnetic moment (μB/f.u.) |
| --- | --- | --- |
| 1 | -252.6 | 0.95 |
| 2 | -153.6 | 3.01 |
| 3 | -133.8 | 3.00 |
| 4 | -90.5 | 2.00 |
| 5 | -122.0 | 1.04 |
| 6 | -191.4 | 0.00 |
| 7 | -87.0 | 2.51 |
| 8 | -378.5 | 0.00 |
| 9 | -436.5 | 1.05 |
| 10 | -26.0 | 2.83 |
| 11 | -58.3 | 0.00 |
| 12 | -149.6 | 2.00 |
| 13 | -61.7 | 1.04 |
| 14 | -153.6 | 1.00 |
| 15 | -350.6 | 2.12 |
| 16 | -248.7 | 0.91 |
| 17 | -261.4 | 0.93 |
| 18 | -86.9 | 0.04 |
| 19 | -67.7 | 1.02 |
| 20 | -56.1 | 1.96 |